(a)
VASP calculation (PBE) on a relaxed Pt2WAu crystal.

Cell lengths 9.523, 9.523, 9.523 Å; angles 17.05, 17.05, 17.05 degrees
Positions (direct):
Au (0.751, 0.751, 0.751)
Pt (0.999, 0.999, 0.999)
Pt (0.247, 0.247, 0.247)
W (0.503, 0.503, 0.503)

Values from the calculation:
- N(E_F): 0.2928 states/eV/atom


(b)
VASP calculation (PBE) on a relaxed Pt2WAu crystal.

Cell lengths 4.961, 4.961, 2.794 Å; angles 90.00, 90.00, 109.91 degrees
Positions (direct):
Au (0.000, 0.500, 0.500)
Pt (0.000, 0.000, 0.000)
Pt (0.500, 0.500, 0.000)
W (0.500, 0.000, 0.500)

Values from the calculation:
- N(E_F): 0.8920 states/eV/atom


Least stable = (b)


(a)
VASP calculation (PBE) on a relaxed Pt2WAu crystal.

Cell lengths 2.855, 3.942, 5.738 Å; angles 90.00, 90.00, 90.00 degrees
Positions (direct):
Au (0.500, 0.500, 0.750)
Pt (0.000, 0.000, 0.015)
Pt (0.000, 0.000, 0.485)
W (0.500, 0.500, 0.250)

Values from the calculation:
- N(E_F): 0.8266 states/eV/atom


(b)
VASP calculation (PBE) on a relaxed Pt2WAu crystal.

Cell lengths 4.515, 4.515, 4.515 Å; angles 60.00, 60.00, 60.00 degrees
Positions (direct):
Au (0.500, 0.500, 0.500)
Pt (0.000, 0.000, 0.000)
Pt (0.250, 0.250, 0.250)
W (0.750, 0.750, 0.750)

Values from the calculation:
- N(E_F): 0.6467 states/eV/atom


Least stable = (b)


(a)
VASP calculation (PBE) on a relaxed Pt2WAu crystal.

Cell lengths 2.812, 2.812, 8.178 Å; angles 90.00, 90.00, 90.00 degrees
Positions (direct):
Au (0.500, 0.500, 0.745)
Pt (0.000, 0.000, 0.005)
Pt (0.500, 0.500, 0.260)
W (0.000, 0.000, 0.491)

Values from the calculation:
- N(E_F): 0.7803 states/eV/atom


(b)
VASP calculation (PBE) on a relaxed Pt2WAu crystal.

Cell lengths 2.781, 4.908, 4.836 Å; angles 90.00, 90.00, 90.00 degrees
Positions (direct):
Au (0.000, 0.500, 0.500)
Pt (0.000, 0.000, 0.000)
Pt (0.500, 0.500, 0.000)
W (0.500, 0.000, 0.500)

Values from the calculation:
- N(E_F): 1.0992 states/eV/atom


Least stable = (b)